DFT (PBE) results for a relaxed KThTe2 crystal.

abc: 4.429 4.429 9.083
angles: 75.89 75.89 60.00
Sites, in units of the cell vectors:
K (0.498, 0.498, 0.506)
Th (0.668, 0.668, 0.997)
Te (0.074, 0.074, 0.779)
Te (0.261, 0.261, 0.218)

Output
Calculated volume, Å³/atom: 37.02
Calculated total energy, eV per cell: -19.4
Theoretical density, Mg/m³: 5.90
ΔE_f (raw), eV per formula unit: -4.64